1.
Computed, not measured: crystalline Cd6Hg2Pb at its relaxed geometry at the PBE-GGA level of DFT.

Results
Total energy, eV per atom: -1.034
Crystal system: monoclinic
ΔE to the lowest computed polymorph, kJ per mole of atoms: 1.7
Fermi-level density of states, states/eV/atom: 0.5125
Energy of formation, eV per atom: 0.05

Unit cell a=14.6919 b=9.8538 c=3.2107 alpha=90.00 beta=102.11 gamma=90.00
Last column: nearest neighbours and their distance in Å.
Space group C2/m (No. 12)
Unique sites:
Cd  0.0000  0.1549  0.0000 [4 per cell]  7 Cd 3.05-3.21, 2 Hg 3.14
Cd  0.1605  0.2853  0.6603 [8 per cell]  3 Hg 3.00-3.28, 6 Cd 3.08-3.21, 1 Pb 3.13
Hg  0.1913  0.0000  0.1979 [4 per cell]  8 Cd 3.00-3.28, 2 Hg 3.21
Pb  0.0000  0.5000  0.5000 [2 per cell]  4 Cd 3.13, 2 Pb 3.21

=====

2.
Computed, not measured: crystalline Y4ScPb5 at its relaxed geometry at the PBE-GGA level of DFT.

Results
Total energy, eV per atom: -5.394
Crystal system: tetragonal
Fermi-level density of states, states/eV/atom: 0.9564
Energy of formation, eV per atom: -0.32

Unit cell a=9.8655 b=9.8655 c=6.2546 alpha=90.00 beta=90.00 gamma=90.00
Last column: nearest neighbours and their distance in Å.
Space group I4 (No. 79)
Unique sites:
Y  0.0932  0.3039  0.0000 [8 per cell]  6 Pb 3.13-3.16
Sc  0.0000  0.0000  0.4936 [2 per cell]  6 Pb 3.00-3.13
Pb  0.0000  0.0000  0.9928 [2 per cell]  2 Sc 3.12-3.13, 4 Y 3.14
Pb  0.1006  0.2874  0.5000 [8 per cell]  1 Sc 3.00, 5 Y 3.13-3.16

=====

3.
Computed, not measured: crystalline YSc2P2 at its relaxed geometry at the PBE-GGA level of DFT.

Results
Total energy, eV per atom: -6.995
Crystal system: tetragonal
ΔE to the lowest computed polymorph, kJ per mole of atoms: 14.9
Fermi-level density of states, states/eV/atom: 0.4516
Energy of formation, eV per atom: -1.01

Unit cell a=4.0845 b=4.0845 c=11.7503 alpha=90.00 beta=90.00 gamma=90.00
Last column: nearest neighbours and their distance in Å.
Space group I4/mmm (No. 139)
Unique sites:
Y  0.0000  0.0000  0.0000 [2 per cell]  8 P 3.14
Sc  0.0000  0.5000  0.2500 [4 per cell]  4 P 2.66, 4 Sc 2.89
P  0.0000  0.0000  0.3949 [4 per cell]  1 P 2.47, 4 Sc 2.66

=====

4.
Computed, not measured: crystalline SbOsBr2 at its relaxed geometry at the PBE-GGA level of DFT.

Results
Total energy, eV per atom: -4.378
Crystal system: orthorhombic
ΔE to the lowest computed polymorph, kJ per mole of atoms: 1.7
Fermi-level density of states, states/eV/atom: 0.8069
Formation energy (no corrections), meV per atom: 297

Unit cell a=3.2010 b=3.8151 c=9.2827 alpha=90.00 beta=90.00 gamma=90.00
Last column: nearest neighbours and their distance in Å.
Space group Pmm2 (No. 25)
Unique sites:
Sb  0.0000  0.0000  0.0000 [1 per cell]  1 Br 2.57, 4 Os 2.68
Os  0.5000  0.5000  0.1059 [1 per cell]  1 Br 2.40, 4 Sb 2.68
Br  0.0000  0.0000  0.7233 [1 per cell]  1 Sb 2.57
Br  0.5000  0.5000  0.3646 [1 per cell]  1 Os 2.40